Entry 1:
Here is MgSc2Pd3 after structural relaxation from Alexandria. Energies are from GGA-PBE.

* DFT total energy: -70.0 eV/cell
* E_form: -0.86 eV/atom
* ΔE to the lowest computed polymorph: 0.01 eV per formula unit
* density of states at the Fermi level: 7.3 states/eV per cell

Cell: 4.6327 4.6327 11.3161 Å, 90.00 90.00 120.00°
Space group P-3m1 (No. 164)
Unique sites:
Mg  0.3333  0.6667  0.1669 (multiplicity 2)
Sc  0.0000  0.0000  0.0000 (multiplicity 1)
Sc  0.0000  0.0000  0.5000 (multiplicity 1)
Sc  0.3333  0.6667  0.6735 (multiplicity 2)
Pd  0.0000  0.0000  0.2507 (multiplicity 2)
Pd  0.3333  0.6667  0.4198 (multiplicity 2)
Pd  0.3333  0.6667  0.9197 (multiplicity 2)

---

Entry 2:
Here is Sr3AcLa2Te6 after structural relaxation from Alexandria. Energies are from GGA-PBE.

* DFT total energy: -114.5 eV/cell
* formation energy (no corrections): -37.31 kcal/mol of atoms
* density of states at the Fermi level: 11.8 states/eV per cell

Cell: 20.508 4.647 9.420 Å, 90.00 104.48 90.00°
Space group C2/m (No. 12)
Unique sites:
Sr  0.000  0.000  0.000 (multiplicity 2)
Sr  0.166  0.500  0.333 (multiplicity 4)
Ac  0.000  0.000  0.500 (multiplicity 2)
La  0.169  0.500  0.837 (multiplicity 4)
Te  0.002  0.500  0.755 (multiplicity 4)
Te  0.167  0.000  0.081 (multiplicity 4)
Te  0.168  0.000  0.588 (multiplicity 4)

---

Entry 3:
Here is In6Sn3Hg after structural relaxation from Alexandria. Energies are from GGA-PBE.

* DFT total energy: -57.0 eV/cell
* E_form: 0.03 eV/atom
* density of states at the Fermi level: 6.8 states/eV per cell

Cell: 8.931 5.496 11.859 Å, 90.00 110.34 90.00°
Space group P2_1/m (No. 11)
Unique sites:
In  0.037  0.250  0.425 (multiplicity 2)
In  0.176  0.750  0.172 (multiplicity 2)
In  0.244  0.250  0.023 (multiplicity 2)
In  0.341  0.250  0.325 (multiplicity 2)
In  0.362  0.750  0.782 (multiplicity 2)
In  0.422  0.250  0.622 (multiplicity 2)
Sn  0.060  0.750  0.873 (multiplicity 2)
Sn  0.118  0.250  0.727 (multiplicity 2)
Sn  0.262  0.750  0.474 (multiplicity 2)
Hg  0.472  0.750  0.082 (multiplicity 2)

---

The evaluated theoretical density for the records listed, in turn: 6.84; 5.86; 7.58 g cm⁻³.